10
Lattice="4.779 0.000 0.000 0.000 4.779 0.000 0.000 0.000 13.999" Properties=species:S:1:pos:R:3 comment="GGA-PBE Ca2BeBr2, relaxed" formation_energy_uncorrected_ev_per_atom=-0.571 total_energy_ev_per_atom=-2.786 pbc="T T T"
Ca 0.000 0.000 1.756
Ca 0.000 0.000 12.242
Ca 2.389 2.389 5.243
Ca 2.389 2.389 8.756
Be 0.000 0.000 6.999
Be 2.389 2.389 0.000
Br 0.000 2.389 3.500
Br 0.000 2.389 10.499
Br 2.389 0.000 3.500
Br 2.389 0.000 10.499